Record 1
DFT (GGA-PBE) results for SrC2S after structural relaxation.

CIF file:
```
data_SrC2S
_chemical_formula_sum 'Sr2 C4 S2'
_cell_length_a 5.2681
_cell_length_b 5.2681
_cell_length_c 5.2681
_cell_angle_alpha 114.48
_cell_angle_beta 114.48
_cell_angle_gamma 99.85
_symmetry_space_group_name_H-M 'P 1'
_symmetry_Int_Tables_number 1
loop_
_symmetry_equiv_pos_as_xyz
'x,y,z'
loop_
_atom_site_label
_atom_site_fract_x
_atom_site_fract_y
_atom_site_fract_z
Sr1 0.0000 0.0000 0.0000
Sr2 0.7500 0.2500 0.5000
C1 0.2479 0.1250 0.6229
C2 0.3750 0.7521 0.8771
C3 0.5021 0.6250 0.3771
C4 0.8750 0.4979 0.1229
S1 0.2500 0.7500 0.5000
S2 0.5000 0.5000 0.0000
```

Computed properties:
* formation energy without anion corrections: 0.864 eV per atom

***

Record 2
DFT (GGA-PBE) results for SrCS after structural relaxation.

CIF file:
```
data_SrCS
_chemical_formula_sum 'Sr2 C2 S2'
_cell_length_a 5.6054
_cell_length_b 5.6054
_cell_length_c 6.7685
_cell_angle_alpha 96.55
_cell_angle_beta 96.55
_cell_angle_gamma 37.01
_symmetry_space_group_name_H-M 'P 1'
_symmetry_Int_Tables_number 1
loop_
_symmetry_equiv_pos_as_xyz
'x,y,z'
loop_
_atom_site_label
_atom_site_fract_x
_atom_site_fract_y
_atom_site_fract_z
Sr1 0.1347 0.1347 0.2750
Sr2 0.8653 0.8653 0.7250
C1 0.2486 0.2486 0.9534
C2 0.7514 0.7514 0.0466
S1 0.1449 0.1449 0.7162
S2 0.8551 0.8551 0.2838
```

Computed properties:
* formation energy without anion corrections: 0.038 eV per atom

***

Record 3
DFT (GGA-PBE) results for Sr2CS2 after structural relaxation.

CIF file:
```
data_Sr2CS2
_chemical_formula_sum 'Sr2 C1 S2'
_cell_length_a 6.0605
_cell_length_b 6.0605
_cell_length_c 6.0605
_cell_angle_alpha 123.22
_cell_angle_beta 123.22
_cell_angle_gamma 84.50
_symmetry_space_group_name_H-M 'P 1'
_symmetry_Int_Tables_number 1
loop_
_symmetry_equiv_pos_as_xyz
'x,y,z'
loop_
_atom_site_label
_atom_site_fract_x
_atom_site_fract_y
_atom_site_fract_z
Sr1 0.2500 0.7500 0.5000
Sr2 0.7500 0.2500 0.5000
C1 0.0000 0.0000 0.0000
S1 0.2790 0.2790 0.0000
S2 0.7210 0.7210 0.0000
```

Computed properties:
* formation energy without anion corrections: -0.189 eV per atom
* energy above the lowest structure with this stoichiometry: 0.0599 eV/atom

***

Record 4
DFT (GGA-PBE) results for SrC3S after structural relaxation.

CIF file:
```
data_SrC3S
_chemical_formula_sum 'Sr1 C3 S1'
_cell_length_a 3.9219
_cell_length_b 3.9219
_cell_length_c 3.9219
_cell_angle_alpha 90.00
_cell_angle_beta 90.00
_cell_angle_gamma 90.00
_symmetry_space_group_name_H-M 'P 1'
_symmetry_Int_Tables_number 1
loop_
_symmetry_equiv_pos_as_xyz
'x,y,z'
loop_
_atom_site_label
_atom_site_fract_x
_atom_site_fract_y
_atom_site_fract_z
Sr1 0.0000 0.0000 0.0000
C1 0.0000 0.5000 0.5000
C2 0.5000 0.0000 0.5000
C3 0.5000 0.5000 0.0000
S1 0.5000 0.5000 0.5000
```

Computed properties:
* formation energy without anion corrections: 2.072 eV per atom
* energy above the lowest structure with this stoichiometry: 0.0000 eV/atom

***

Record 5
DFT (GGA-PBE) results for SrC3S after structural relaxation.

CIF file:
```
data_SrC3S
_chemical_formula_sum 'Sr1 C3 S1'
_cell_length_a 5.2166
_cell_length_b 5.2166
_cell_length_c 5.2166
_cell_angle_alpha 90.00
_cell_angle_beta 90.00
_cell_angle_gamma 90.00
_symmetry_space_group_name_H-M 'P 1'
_symmetry_Int_Tables_number 1
loop_
_symmetry_equiv_pos_as_xyz
'x,y,z'
loop_
_atom_site_label
_atom_site_fract_x
_atom_site_fract_y
_atom_site_fract_z
Sr1 0.0000 0.0000 0.0000
C1 0.0000 0.0000 0.5000
C2 0.0000 0.5000 0.0000
C3 0.5000 0.0000 0.0000
S1 0.5000 0.5000 0.5000
```

Computed properties:
* formation energy without anion corrections: 3.775 eV per atom
* energy above the lowest structure with this stoichiometry: 1.7034 eV/atom

***

Record 6
DFT (GGA-PBE) results for Sr2ZrCS after structural relaxation.

CIF file:
```
data_Sr2ZrCS
_chemical_formula_sum 'Sr2 Zr1 C1 S1'
_cell_length_a 5.5759
_cell_length_b 5.5759
_cell_length_c 4.8426
_cell_angle_alpha 90.00
_cell_angle_beta 90.00
_cell_angle_gamma 90.00
_symmetry_space_group_name_H-M 'P 1'
_symmetry_Int_Tables_number 1
loop_
_symmetry_equiv_pos_as_xyz
'x,y,z'
loop_
_atom_site_label
_atom_site_fract_x
_atom_site_fract_y
_atom_site_fract_z
Sr1 0.0000 0.5000 0.0000
Sr2 0.5000 0.0000 0.0000
Zr1 0.0000 0.0000 0.5000
C1 0.5000 0.5000 0.5000
S1 0.0000 0.0000 0.0000
```

Computed properties:
* formation energy without anion corrections: 0.626 eV per atom
* energy above the lowest structure with this stoichiometry: 0.0000 eV/atom

***

Record 7
DFT (GGA-PBE) results for Sr2ZrCS after structural relaxation.

CIF file:
```
data_Sr2ZrCS
_chemical_formula_sum 'Sr2 Zr1 C1 S1'
_cell_length_a 6.2750
_cell_length_b 6.2750
_cell_length_c 4.8164
_cell_angle_alpha 90.00
_cell_angle_beta 90.00
_cell_angle_gamma 90.00
_symmetry_space_group_name_H-M 'P 1'
_symmetry_Int_Tables_number 1
loop_
_symmetry_equiv_pos_as_xyz
'x,y,z'
loop_
_atom_site_label
_atom_site_fract_x
_atom_site_fract_y
_atom_site_fract_z
Sr1 0.0000 0.5000 0.0000
Sr2 0.5000 0.0000 0.0000
Zr1 0.0000 0.0000 0.0000
C1 0.5000 0.5000 0.5000
S1 0.0000 0.0000 0.5000
```

Computed properties:
* formation energy without anion corrections: 1.148 eV per atom
* energy above the lowest structure with this stoichiometry: 0.5225 eV/atom

***

Record 8
DFT (GGA-PBE) results for Ta2CS after structural relaxation.

CIF file:
```
data_Ta2CS
_chemical_formula_sum 'Ta4 C2 S2'
_cell_length_a 6.3118
_cell_length_b 6.3118
_cell_length_c 6.3118
_cell_angle_alpha 131.79
_cell_angle_beta 131.79
_cell_angle_gamma 70.56
_symmetry_space_group_name_H-M 'P 1'
_symmetry_Int_Tables_number 1
loop_
_symmetry_equiv_pos_as_xyz
'x,y,z'
loop_
_atom_site_label
_atom_site_fract_x
_atom_site_fract_y
_atom_site_fract_z
Ta1 0.0670 0.6250 0.9420
Ta2 0.3750 0.3170 0.4420
Ta3 0.6830 0.1250 0.0580
Ta4 0.8750 0.9330 0.5580
C1 0.0000 0.0000 0.0000
C2 0.7500 0.2500 0.5000
S1 0.2500 0.7500 0.5000
S2 0.5000 0.5000 0.0000
```

Computed properties:
* formation energy without anion corrections: -0.061 eV per atom